1.
DFT (PBE-GGA) results for an optimized crystal structure of Ca6Pt7.

a b c (Å): 10.4174 10.4174 10.4174
angles (deg): 31.41 31.41 31.41
Positions (direct):
Ca (0.9420, 0.9420, 0.9420)
Ca (0.0580, 0.0580, 0.0580)
Ca (0.8400, 0.8400, 0.8400)
Ca (0.1600, 0.1600, 0.1600)
Ca (0.6652, 0.6652, 0.6652)
Ca (0.3348, 0.3348, 0.3348)
Pt (0.9106, 0.4108, 0.4108)
Pt (0.4108, 0.4108, 0.9106)
Pt (0.4108, 0.9106, 0.4108)
Pt (0.0894, 0.5892, 0.5892)
Pt (0.5892, 0.0894, 0.5892)
Pt (0.5892, 0.5892, 0.0894)
Pt (0.5000, 0.5000, 0.5000)

Calculated values
Its size of the total moment is 0.00 μB/f.u. Its space group is R-3m, No. 166. For the density of states at the Fermi level, the calculation gives 0.288 states/eV/atom. The energy of formation is -0.79 eV/atom.

2.
DFT (PBE-GGA) results for an optimized crystal structure of CaPt4.

a b c (Å): 4.8168 4.8168 4.8168
angles (deg): 90.00 90.00 90.00
Positions (direct):
Ca (0.5000, 0.5000, 0.5000)
Pt (0.0000, 0.0000, 0.0000)
Pt (0.5000, 0.0000, 0.5000)
Pt (0.0000, 0.5000, 0.5000)
Pt (0.5000, 0.5000, 0.0000)

Calculated values
Its size of the total moment is 0.00 μB/f.u. Its space group is Pm-3m, No. 221. The value obtained for the offset from the most stable computed form is 1.883 eV per atom. For the density of states at the Fermi level, the calculation gives 1.462 states/eV/atom. The energy of formation is 1.51 eV/atom.

3.
DFT (PBE-GGA) results for an optimized crystal structure of Ca2Pt.

a b c (Å): 5.9203 5.9203 5.9203
angles (deg): 60.00 60.00 60.00
Positions (direct):
Ca (0.1250, 0.6250, 0.1250)
Ca (0.1250, 0.1250, 0.6250)
Ca (0.6250, 0.1250, 0.1250)
Ca (0.1250, 0.1250, 0.1250)
Pt (0.7500, 0.7500, 0.7500)
Pt (0.5000, 0.5000, 0.5000)

Calculated values
Its size of the total moment is 0.00 μB/f.u. Its space group is Fd-3m, No. 227. For the density of states at the Fermi level, the calculation gives 1.208 states/eV/atom. The energy of formation is 0.35 eV/atom.